[1]
Compound: AcCdReO6
Source: Alexandria
Functional: PBE
Structure: optimized geometry

Results
- Spin magnetization: 0.000 μB/cell
- Volume: 140.7 Å³/cell

Cell lengths 5.6046, 5.6046, 5.1715 Å; angles 90.00, 90.00, 120.00 degrees
Space group P312 (No. 149)
Unique sites:
1 Ac 0.0000 0.0000 0.0000 [1 per cell]
2 Cd 0.3333 0.6667 0.5000 [1 per cell]
3 Re 0.6667 0.3333 0.5000 [1 per cell]
4 O 0.3915 0.0527 0.7129 [6 per cell]

=====

[2]
Compound: Er4TlO
Source: Alexandria
Functional: PBE
Structure: optimized geometry

Results
- Spin magnetization: 0.000 μB/cell
- Volume: 310.2 Å³/cell

Cell lengths 5.0631, 8.8352, 6.9340 Å; angles 90.00, 90.13, 90.00 degrees
Space group P2_1/m (No. 11)
Unique sites:
1 Er 0.2489 0.2500 0.2233 [2 per cell]
2 Er 0.2501 0.0475 0.7292 [4 per cell]
3 Er 0.2506 0.7500 0.0672 [2 per cell]
4 Tl 0.2510 0.7500 0.4954 [2 per cell]
5 O 0.2480 0.2500 0.9094 [2 per cell]

=====

Summary of ρ in Mg/m³
7.3, 9.5
(order as listed above)
Summary of raw formation energy in eV per atom
-1.97, -0.99
(order as listed above)